No. 1
Compound: Y4Er2Th
Source: the Alexandria database
Functional: PBE-GGA
Structure: optimized geometry

Values from the calculation:
The crystal system is orthorhombic. The relative energy among the computed polymorphs comes out at 296 meV/atom. Its magnetic moment is 0.00 μB/f.u. For the density of states at the Fermi level, the calculation gives 25.01 states/eV/cell. The calculation puts the formation energy at 0.319 eV/atom.

Lattice parameters (Å, degrees): 6.6331 8.9809 8.9809 79.83 68.33 68.33
Sites, in units of the cell vectors:
1 Y 0.1525 0.3527 0.3423
2 Y 0.1525 0.8423 0.8527
3 Y 0.2413 0.2367 0.7367
4 Y 0.7852 0.2367 0.7367
5 Y 0.2148 0.7633 0.2633
6 Y 0.8475 0.1577 0.1473
7 Y 0.7587 0.7633 0.2633
8 Y 0.8475 0.6473 0.6577
9 Er 0.2759 0.9741 0.4741
10 Er 0.5000 0.0000 0.0000
11 Er 0.5000 0.5000 0.5000
12 Er 0.7241 0.0259 0.5259
13 Th 0.0000 0.5000 0.0000
14 Th 0.5000 0.5000 0.0000

***

No. 2
Compound: MgCl2
Source: the Alexandria database
Functional: PBE-GGA
Structure: optimized geometry

Values from the calculation:
The crystal system is hexagonal. Its magnetic moment is 0.00 μB/f.u. As for the uncorrected formation energy: -5.01 eV per formula unit. For the density of states at the Fermi level, the calculation gives 0.00 states/eV/cell.

Lattice parameters (Å, degrees): 3.5554 3.5554 14.0993 90.00 90.00 120.00
Sites, in units of the cell vectors:
1 Mg 0.0000 0.0000 0.2500
2 Mg 0.0000 0.0000 0.7500
3 Cl 0.6667 0.3333 0.3593
4 Cl 0.3333 0.6667 0.8593
5 Cl 0.3333 0.6667 0.6407
6 Cl 0.6667 0.3333 0.1407

***

No. 3
Compound: AcLuTl2
Source: the Alexandria database
Functional: PBE-GGA
Structure: optimized geometry

Values from the calculation:
The crystal system is tetragonal. Its magnetic moment is 0.01 μB/f.u. For the density of states at the Fermi level, the calculation gives 3.33 states/eV/cell. The calculation puts the formation energy at -0.239 eV/atom.

Lattice parameters (Å, degrees): 4.5073 5.2650 5.2650 90.00 90.00 90.00
Sites, in units of the cell vectors:
1 Ac 0.5000 0.0000 0.0000
2 Lu 0.5000 0.5000 0.5000
3 Tl 0.0000 0.0000 0.5000
4 Tl 0.0000 0.5000 0.0000

***

No. 4
Compound: Sr2HgSb
Source: the Alexandria database
Functional: PBE-GGA
Structure: optimized geometry

Values from the calculation:
The crystal system is cubic. The relative energy among the computed polymorphs comes out at 464 meV/atom. Its magnetic moment is 0.00 μB/f.u. As for the uncorrected formation energy: -1.38 eV per formula unit. For the density of states at the Fermi level, the calculation gives 2.04 states/eV/cell.

Lattice parameters (Å, degrees): 5.7486 5.7486 5.7486 60.00 60.00 60.00
Sites, in units of the cell vectors:
1 Hg 0.5000 0.5000 0.5000
2 Sb 0.7500 0.7500 0.7500
3 Sr 0.0000 0.0000 0.0000
4 Sr 0.2500 0.2500 0.2500

***

No. 5
Compound: CsCdSbTe2
Source: the Alexandria database
Functional: PBE-GGA
Structure: optimized geometry

Values from the calculation:
The crystal system is tetragonal. The relative energy among the computed polymorphs comes out at 1103 meV/atom. Its magnetic moment is 2.60 μB/f.u. As for the uncorrected formation energy: 5.38 eV per formula unit. For the density of states at the Fermi level, the calculation gives 11.83 states/eV/cell.

Lattice parameters (Å, degrees): 6.7111 6.7111 6.6797 90.00 90.00 90.00
Each line ends with the local moment (μB).
Sites, in units of the cell vectors:
1 Cs 0.0000 0.0000 0.0000  0.03
2 Sb 0.0000 0.0000 0.5000  0.61
3 Te 0.0000 0.5000 0.0000  0.23
4 Te 0.5000 0.0000 0.0000  0.23
5 Cd 0.5000 0.5000 0.5000  0.05

***

No. 6
Compound: RbReOF2
Source: the Alexandria database
Functional: PBE-GGA
Structure: optimized geometry

Values from the calculation:
The crystal system is tetragonal. The relative energy among the computed polymorphs comes out at 0 meV/atom. Its magnetic moment is 0.00 μB/f.u. As for the uncorrected formation energy: -7.66 eV per formula unit. For the density of states at the Fermi level, the calculation gives 1.73 states/eV/cell.

Lattice parameters (Å, degrees): 4.4043 4.4043 3.8559 90.00 90.00 90.00
Sites, in units of the cell vectors:
1 Re 0.0000 0.0000 0.0000
2 O 0.0000 0.0000 0.5000
3 Rb 0.5000 0.5000 0.5000
4 F 0.0000 0.5000 0.0000
5 F 0.5000 0.0000 0.0000

***

No. 7
Compound: VAgSbTe2
Source: the Alexandria database
Functional: PBE-GGA
Structure: optimized geometry

Values from the calculation:
The crystal system is tetragonal. The relative energy among the computed polymorphs comes out at 0 meV/atom. Its magnetic moment is 0.43 μB/f.u. As for the uncorrected formation energy: 1.94 eV per formula unit. For the density of states at the Fermi level, the calculation gives 4.32 states/eV/cell.

Lattice parameters (Å, degrees): 5.1698 5.1698 5.2089 90.00 90.00 90.00
Each line ends with the local moment (μB).
Sites, in units of the cell vectors:
1 Sb 0.0000 0.0000 0.5000  -0.05
2 Te 0.0000 0.5000 0.0000  -0.03
3 Te 0.5000 0.0000 0.0000  -0.03
4 Ag 0.5000 0.5000 0.5000  0.02
5 V 0.0000 0.0000 0.0000  0.51

***

No. 8
Compound: YRhPb2
Source: the Alexandria database
Functional: PBE-GGA
Structure: optimized geometry

Values from the calculation:
The crystal system is tetragonal. Its magnetic moment is 0.00 μB/f.u. For the density of states at the Fermi level, the calculation gives 2.24 states/eV/cell. The calculation puts the formation energy at -0.206 eV/atom.

Lattice parameters (Å, degrees): 3.4880 3.4880 7.5835 90.00 90.00 90.00
Sites, in units of the cell vectors:
1 Pb 0.0000 0.0000 0.0376
2 Pb 0.0000 0.0000 0.4624
3 Rh 0.5000 0.5000 0.2500
4 Y 0.5000 0.5000 0.7500

***

No. 9
Compound: SnGePbCl6
Source: the Alexandria database
Functional: PBE-GGA
Structure: optimized geometry

Values from the calculation:
The crystal system is tetragonal. Its magnetic moment is 0.00 μB/f.u. As for the uncorrected formation energy: -8.65 eV per formula unit. For the density of states at the Fermi level, the calculation gives 0.00 states/eV/cell.

Lattice parameters (Å, degrees): 6.6425 6.6425 12.7364 90.00 90.00 90.00
Sites, in units of the cell vectors:
1 Sn 0.5000 0.5000 0.1674
2 Sn 0.0000 0.0000 0.6674
3 Ge 0.5000 0.5000 0.8326
4 Ge 0.0000 0.0000 0.3326
5 Pb 0.5000 0.5000 0.4992
6 Pb 0.0000 0.0000 0.9992
7 Cl 0.1902 0.8098 0.4922
8 Cl 0.8098 0.1902 0.4922
9 Cl 0.3098 0.3098 0.9922
10 Cl 0.6902 0.6902 0.9922
11 Cl 0.1955 0.8045 0.1777
12 Cl 0.8045 0.1955 0.1777
13 Cl 0.3045 0.3045 0.6777
14 Cl 0.6955 0.6955 0.6777
15 Cl 0.7878 0.2122 0.8306
16 Cl 0.2122 0.7878 0.8306
17 Cl 0.7122 0.7122 0.3306
18 Cl 0.2878 0.2878 0.3306

***

No. 10
Compound: LaAl2Re2
Source: the Alexandria database
Functional: PBE-GGA
Structure: optimized geometry

Values from the calculation:
The crystal system is tetragonal. Its magnetic moment is 0.00 μB/f.u. For the density of states at the Fermi level, the calculation gives 6.15 states/eV/cell. The calculation puts the formation energy at -0.040 eV/atom.

Lattice parameters (Å, degrees): 4.4685 4.4685 5.9713 68.03 68.03 90.00
Sites, in units of the cell vectors:
1 Re 0.3836 0.3836 0.2327
2 Re 0.6164 0.6164 0.7673
3 Al 0.7500 0.2500 0.5000
4 Al 0.2500 0.7500 0.5000
5 La 0.0000 0.0000 0.0000

***

No. 11
Compound: Zr2InPRu
Source: the Alexandria database
Functional: PBE-GGA
Structure: optimized geometry

Values from the calculation:
The crystal system is tetragonal. The relative energy among the computed polymorphs comes out at 0 meV/atom. Its magnetic moment is 0.00 μB/f.u. For the density of states at the Fermi level, the calculation gives 5.85 states/eV/cell. The calculation puts the formation energy at -0.275 eV/atom.

Lattice parameters (Å, degrees): 4.8905 4.3893 4.8905 90.00 90.00 90.00
Sites, in units of the cell vectors:
1 Ru 0.0000 0.5000 0.0000
2 P 0.0000 0.0000 0.0000
3 Zr 0.0000 0.0000 0.5000
4 Zr 0.5000 0.0000 0.0000
5 In 0.5000 0.5000 0.5000

***

No. 12
Compound: KSc2Cd
Source: the Alexandria database
Functional: PBE-GGA
Structure: optimized geometry

Values from the calculation:
The crystal system is monoclinic. Its magnetic moment is 1.03 μB/f.u. For the density of states at the Fermi level, the calculation gives 4.43 states/eV/cell. The calculation puts the formation energy at 0.297 eV/atom.

Lattice parameters (Å, degrees): 5.6963 5.6963 6.4710 82.31 82.31 34.11
Each line ends with the local moment (μB).
Sites, in units of the cell vectors:
1 Cd 0.7500 0.7500 0.7500  0.00
2 K 0.2500 0.2500 0.2500  0.01
3 Sc 0.0200 0.0200 0.9406  0.31
4 Sc 0.4800 0.4800 0.5594  0.31